The following is a PBE calculation of a relaxed K3Hg12Bi5 crystal, from Alexandria.

Cell and atoms, written as extended XYZ:
```
80
Lattice="-9.493 9.493 9.493 9.493 -9.493 9.493 9.493 9.493 -9.493" Properties=species:S:1:pos:R:3 pbc="T T T"
K 4.746 2.373 0.000
K 9.493 4.746 -2.373
K 2.373 0.000 4.746
K 11.866 0.000 4.746
K 0.000 4.746 2.373
K 4.746 -2.373 9.493
K 4.746 11.866 0.000
K 9.493 4.746 7.120
K -2.373 9.493 4.746
K 7.120 9.493 4.746
K 0.000 4.746 11.866
K 4.746 7.120 9.493
Hg 2.369 -1.266 1.385
Hg 11.870 6.131 -6.012
Hg 8.227 -1.385 2.369
Hg 15.505 -2.377 3.361
Hg 1.385 2.369 -1.266
Hg 12.854 3.481 -2.377
Hg 11.862 1.266 1.385
Hg 11.870 -3.361 6.012
Hg 6.131 6.012 -2.377
Hg 8.108 2.369 1.266
Hg -1.266 1.385 2.369
Hg 6.012 -2.377 6.131
Hg 8.227 8.108 -2.369
Hg 6.012 2.377 3.361
Hg 8.108 -2.369 8.227
Hg 6.131 -6.012 11.870
Hg 2.369 8.227 -1.385
Hg 11.870 3.361 3.481
Hg 3.361 6.012 2.377
Hg 10.878 7.124 1.266
Hg 6.012 11.870 -3.361
Hg 8.227 1.385 7.124
Hg 2.377 3.361 6.012
Hg 2.369 1.266 8.108
Hg 7.124 8.227 1.385
Hg 7.115 6.131 3.481
Hg 1.266 8.108 2.369
Hg 3.481 -2.377 12.854
Hg -1.385 2.369 8.227
Hg 6.131 3.481 7.115
Hg -2.377 6.131 6.012
Hg 7.124 1.266 10.878
Hg 3.361 15.505 -2.377
Hg 1.385 11.862 1.266
Hg 3.481 7.115 6.131
Hg 1.266 1.385 11.862
Hg 3.481 11.870 3.361
Hg 10.759 8.108 7.124
Hg 1.385 7.124 8.227
Hg 3.361 3.481 11.870
Hg -2.377 12.854 3.481
Hg -2.369 8.227 8.108
Hg -3.361 6.012 11.870
Hg 8.108 7.124 10.759
Hg -6.012 11.870 6.131
Hg 1.266 10.878 7.124
Hg -2.377 3.361 15.505
Hg 7.124 10.759 8.108
Bi 0.000 0.000 0.000
Bi 4.746 4.746 -4.746
Bi 4.746 -4.746 4.746
Bi 9.493 0.000 0.000
Bi 14.239 2.373 0.000
Bi 9.493 -4.746 7.120
Bi 7.120 9.493 -4.746
Bi 7.120 0.000 4.746
Bi 4.746 7.120 0.000
Bi 9.493 4.746 2.373
Bi -4.746 4.746 4.746
Bi 0.000 9.493 0.000
Bi 0.000 0.000 9.493
Bi 4.746 4.746 4.746
Bi 0.000 4.746 7.120
Bi 4.746 2.373 9.493
Bi 2.373 9.493 4.746
Bi 2.373 0.000 14.239
Bi 0.000 14.239 2.373
Bi -4.746 7.120 9.493
```

space group = Ia-3d, No. 230
uncorrected energy = -0.094 Ry per atom